# Tb6SmHoTm2 PBE relaxed
# V in Å³/atom: 32.10
# Space group: C2/c (15)
data_Tb6SmHoTm2
_chemical_formula_sum 'Tb12 Sm2 Ho2 Tm4'
_cell_length_a 9.499
_cell_length_b 8.763
_cell_length_c 8.763
_cell_angle_alpha 117.54
_cell_angle_beta 93.59
_cell_angle_gamma 93.59
_symmetry_space_group_name_H-M 'P 1'
_symmetry_Int_Tables_number 1
_symmetry_space_group_name_Hall 'P 1'
loop_
_atom_site_label
_atom_site_type_symbol
_atom_site_fract_x
_atom_site_fract_y
_atom_site_fract_z
_atom_site_occupancy
Tb1 Tb 0.817 0.436 0.984 1
Tb2 Tb 0.683 0.016 0.564 1
Tb3 Tb 0.944 0.879 0.246 1
Tb4 Tb 0.619 0.491 0.708 1
Tb5 Tb 0.119 0.708 0.491 1
Tb6 Tb 0.183 0.564 0.016 1
Tb7 Tb 0.317 0.984 0.436 1
Tb8 Tb 0.056 0.121 0.754 1
Tb9 Tb 0.556 0.754 0.121 1
Tb10 Tb 0.381 0.509 0.292 1
Tb11 Tb 0.444 0.246 0.879 1
Tb12 Tb 0.881 0.292 0.509 1
Tm1 Tm 0.046 0.304 0.200 1
Tm2 Tm 0.454 0.800 0.696 1
Tm3 Tm 0.546 0.200 0.304 1
Tm4 Tm 0.954 0.696 0.800 1
Sm1 Sm 0.750 0.027 0.973 1
Sm2 Sm 0.250 0.973 0.027 1
Ho1 Ho 0.750 0.590 0.410 1
Ho2 Ho 0.250 0.410 0.590 1

***

# Tb2SmHo6Tm PBE relaxed
# V in Å³/atom: 31.79
# Space group: C2/c (15)
data_Tb2SmHo6Tm
_chemical_formula_sum 'Tb4 Sm2 Ho12 Tm2'
_cell_length_a 9.514
_cell_length_b 8.734
_cell_length_c 8.734
_cell_angle_alpha 117.91
_cell_angle_beta 93.90
_cell_angle_gamma 93.90
_symmetry_space_group_name_H-M 'P 1'
_symmetry_Int_Tables_number 1
_symmetry_space_group_name_Hall 'P 1'
loop_
_atom_site_label
_atom_site_type_symbol
_atom_site_fract_x
_atom_site_fract_y
_atom_site_fract_z
_atom_site_occupancy
Tm1 Tm 0.250 0.409 0.591 1
Tm2 Tm 0.750 0.591 0.409 1
Tb1 Tb 0.045 0.303 0.198 1
Tb2 Tb 0.455 0.802 0.697 1
Tb3 Tb 0.545 0.198 0.303 1
Tb4 Tb 0.955 0.697 0.802 1
Ho1 Ho 0.557 0.749 0.125 1
Ho2 Ho 0.619 0.494 0.709 1
Ho3 Ho 0.443 0.251 0.875 1
Ho4 Ho 0.881 0.291 0.506 1
Ho5 Ho 0.119 0.709 0.494 1
Ho6 Ho 0.943 0.875 0.251 1
Ho7 Ho 0.685 0.018 0.569 1
Ho8 Ho 0.315 0.982 0.431 1
Ho9 Ho 0.381 0.506 0.291 1
Ho10 Ho 0.185 0.569 0.018 1
Ho11 Ho 0.815 0.431 0.982 1
Ho12 Ho 0.057 0.125 0.749 1
Sm1 Sm 0.750 0.023 0.977 1
Sm2 Sm 0.250 0.977 0.023 1

***

Listing calculated formation energy for the structures above in their given order: 0.120 0.119 eV/atom.
Listing Fermi-level density of states for the structures above in their given order: 1.45 1.37 states/eV per atom.